This record from the Alexandria database describes an optimized crystal structure of Cs2KMo3F12. The functional is PBE with a Hubbard U.

a = 8.0095 Å, b = 8.0095 Å, c = 8.0095 Å
α = 60.15°, β = 60.15°, γ = 60.15°
Last column: nearest neighbours and their distance in Å.
Atoms (fractional coordinates):
Cs  0.6254  0.6254  0.6254  3 F 2.96
Cs  0.3746  0.3746  0.3746  3 F 2.96
K  0.0000  0.0000  0.0000  6 F 2.75
Mo  0.5000  0.0000  0.0000  6 F 2.07-2.12
Mo  0.0000  0.5000  0.0000  6 F 2.07-2.12
Mo  0.0000  0.0000  0.5000  6 F 2.07-2.12
F  0.2869  0.2869  0.8967  2 Mo 2.12
F  0.8841  0.8841  0.4163  1 Mo 2.07
F  0.4163  0.8841  0.8841  1 Mo 2.07
F  0.8967  0.2869  0.2869  2 Mo 2.12
F  0.8841  0.4163  0.8841  1 Mo 2.07
F  0.2869  0.8967  0.2869  2 Mo 2.12
F  0.7131  0.7131  0.1033  2 Mo 2.12
F  0.1159  0.1159  0.5837  1 Mo 2.07
F  0.5837  0.1159  0.1159  1 Mo 2.07
F  0.1033  0.7131  0.7131  2 Mo 2.12
F  0.1159  0.5837  0.1159  1 Mo 2.07
F  0.7131  0.1033  0.7131  2 Mo 2.12

Output
- mass density (Mg/m³) = 3.7
- electronic total energy (eV/cell) = -95.31
- M_tot (Bohr magnetons per cell) = 9.00
- V (Å³/atom) = 20.25